A relaxed Ca2MgZn3Si4 crystal, computed with PBE.

The space group is P-4m2 (No. 115) and the conventional cell measures 4.219, 4.219 and 10.742 Å, with angles of 90.00, 90.00 and 90.00 degrees. The inequivalent atoms are Ca at (0.000, 0.500, 0.240), Mg at (0.000, 0.000, 0.500), Zn at (0.000, 0.500, 0.869), Zn at (0.500, 0.500, 0.500), Si at (0.000, 0.000, 0.000), Si at (0.000, 0.500, 0.645) and Si at (0.500, 0.500, 0.000).

For the magnetic moment, the calculation gives 0.00 μB per formula unit. For the calculated density, the calculation gives 3.59 g cm⁻³. The value obtained for the density of states at the Fermi level is 3.23 states/eV per cell. For the raw formation energy, the calculation gives -0.2573 eV/atom.